Record 1
6
Lattice="-2.148 2.227 4.231 2.148 -2.227 4.231 2.148 2.227 -4.231" Properties=species:S:1:pos:R:3 comment="NbWC (PBE, optimized geometry)" formation_energy_ev_per_atom=-0.166 pbc="T T T"
Nb 0.000 1.114 1.051
Nb 2.148 1.114 3.180
W 2.148 1.114 -1.069
W 0.000 1.114 5.300
C 2.148 -1.114 3.150
C 0.000 3.341 1.081

---

Record 2
5
Lattice="4.396 0.000 0.000 0.000 4.396 0.000 0.000 0.000 4.020" Properties=species:S:1:pos:R:3 comment="Nb2W2C (PBE, optimized geometry)" formation_energy_ev_per_atom=0.109 pbc="T T T"
Nb 0.000 2.198 0.000
Nb 2.198 0.000 0.000
W 0.000 0.000 2.010
W 2.198 2.198 2.010
C 0.000 0.000 0.000

---

Record 3
4
Lattice="1.538 0.888 5.426 -1.538 0.888 5.426 0.000 -1.776 5.426" Properties=species:S:1:pos:R:3 comment="NbWC2 (PBE, optimized geometry)" formation_energy_ev_per_atom=-0.129 pbc="T T T"
Nb 0.000 0.000 0.000
W 0.000 0.000 2.870
C 0.000 0.000 9.549
C 0.000 0.000 12.398

---

Record 4
6
Lattice="5.489 -1.521 0.000 5.489 1.521 0.000 -0.710 0.000 4.806" Properties=species:S:1:pos:R:3 comment="NbWC (PBE, optimized geometry)" formation_energy_ev_per_atom=-0.152 pbc="T T T"
Nb 0.000 0.000 0.000
Nb 1.392 0.000 2.786
W 4.237 0.000 2.304
W 8.154 0.000 0.479
C 3.139 0.000 4.171
C 6.183 0.000 1.416

---

Record 5
8
Lattice="-3.591 3.591 2.304 3.591 -3.591 2.304 3.591 3.591 -2.304" Properties=species:S:1:pos:R:3 comment="NbW2C (PBE, optimized geometry)" formation_energy_ev_per_atom=0.239 pbc="T T T"
Nb 0.000 0.000 0.000
Nb 0.000 3.591 1.152
W 1.795 -0.994 1.728
W 2.597 1.795 0.576
W 1.795 4.584 -0.576
W 0.994 1.795 2.880
C 3.591 0.000 1.152
C 0.000 0.000 2.304

---

Record 6
5
Lattice="-2.058 2.058 4.329 2.058 -2.058 4.329 2.058 2.058 -4.329" Properties=species:S:1:pos:R:3 comment="NbW2C2 (PBE, optimized geometry)" formation_energy_ev_per_atom=0.615 pbc="T T T"
Nb 0.000 0.000 0.000
W 2.058 0.000 2.165
W 0.000 2.058 2.165
C 0.000 0.000 2.543
C 0.000 0.000 6.115

---

Record 7
6
Lattice="4.309 0.000 0.000 -0.282 4.316 0.000 -1.007 -1.079 4.287" Properties=species:S:1:pos:R:3 comment="NbWC (PBE, optimized geometry)" formation_energy_ev_per_atom=0.024 pbc="T T T"
Nb 0.000 0.000 0.000
Nb 0.872 3.194 2.329
W 1.057 1.042 4.268
W 3.178 1.054 2.380
C 1.041 1.054 1.756
C 3.020 3.193 1.734

---

Record 8
3
Lattice="3.108 0.000 0.000 -1.554 2.691 0.000 0.000 0.000 4.823" Properties=species:S:1:pos:R:3 comment="NbWC (PBE, optimized geometry)" formation_energy_ev_per_atom=-0.270 pbc="T T T"
Nb 0.000 0.000 0.000
W 1.554 0.897 2.404
C 0.000 1.794 3.555

---

Record 9
8
Lattice="-2.878 2.878 3.834 2.878 -2.878 3.834 2.878 2.878 -3.834" Properties=species:S:1:pos:R:3 comment="YNbC2 (PBE, optimized geometry)" formation_energy_ev_per_atom=-0.048 pbc="T T T"
Y 0.000 0.000 0.000
Y 0.000 2.878 1.917
Nb 2.878 0.000 1.917
Nb 0.000 0.000 3.834
C 1.439 -1.149 2.876
C 1.729 1.439 0.959
C 1.439 4.027 -0.959
C 1.149 1.439 4.793

---

Record 10
5
Lattice="-2.024 2.024 5.005 2.024 -2.024 5.005 2.024 2.024 -5.005" Properties=species:S:1:pos:R:3 comment="Y2NbC2 (PBE, optimized geometry)" formation_energy_ev_per_atom=0.755 pbc="T T T"
Y 2.024 0.000 2.502
Y 0.000 2.024 2.502
Nb 0.000 0.000 0.000
C 0.000 0.000 4.317
C 0.000 0.000 5.692

---

Record 11
16
Lattice="5.757 0.000 0.000 0.000 3.512 0.000 0.000 0.000 11.138" Properties=species:S:1:pos:R:3 comment="YNbC2 (PBE, optimized geometry)" formation_energy_ev_per_atom=-0.367 pbc="T T T"
Y 0.490 0.878 1.557
Y 2.388 2.634 7.127
Y 3.369 0.878 4.012
Y 5.267 2.634 9.581
Nb 0.544 2.634 4.388
Nb 2.335 0.878 9.957
Nb 3.422 2.634 1.182
Nb 5.213 0.878 6.751
C 0.856 0.878 8.377
C 1.293 0.878 5.392
C 1.586 2.634 10.961
C 2.022 2.634 2.808
C 3.735 0.878 8.330
C 4.171 0.878 0.177
C 4.464 2.634 5.746
C 4.900 2.634 2.761

---

Record 12
4
Lattice="1.643 0.949 5.841 -1.643 0.949 5.841 0.000 -1.898 5.841" Properties=species:S:1:pos:R:3 comment="YNbC2 (PBE, optimized geometry)" formation_energy_ev_per_atom=-0.142 pbc="T T T"
Y 0.000 0.000 0.000
Nb 0.000 0.000 3.052
C 0.000 0.000 10.103
C 0.000 0.000 13.428

---

Record 13
5
Lattice="4.907 0.000 0.000 0.000 4.907 0.000 0.000 0.000 4.907" Properties=species:S:1:pos:R:3 comment="YNb3C (PBE, optimized geometry)" formation_energy_ev_per_atom=3.347 pbc="T T T"
Y 0.000 0.000 0.000
Nb 0.000 0.000 2.453
Nb 0.000 2.453 0.000
Nb 2.453 0.000 0.000
C 2.453 2.453 2.453

---

Record 14
3
Lattice="3.320 0.000 0.000 -1.660 2.875 0.000 0.000 0.000 5.526" Properties=species:S:1:pos:R:3 comment="YNbC (PBE, optimized geometry)" formation_energy_ev_per_atom=-0.224 pbc="T T T"
Y 0.000 0.000 0.000
Nb 0.000 1.917 2.636
C 1.660 0.958 1.587

---

Record 15
4
Lattice="1.660 0.958 5.604 -1.660 0.958 5.604 0.000 -1.917 5.604" Properties=species:S:1:pos:R:3 comment="YNbC2 (PBE, optimized geometry)" formation_energy_ev_per_atom=-0.395 pbc="T T T"
Y 0.000 0.000 0.000
Nb 0.000 0.000 8.405
C 0.000 0.000 4.030
C 0.000 0.000 12.781

---

Record 16
5
Lattice="5.307 0.000 0.000 0.000 5.307 0.000 0.000 0.000 5.307" Properties=species:S:1:pos:R:3 comment="Y3NbC (PBE, optimized geometry)" formation_energy_ev_per_atom=1.750 pbc="T T T"
Y 0.000 0.000 2.653
Y 0.000 2.653 0.000
Y 2.653 0.000 0.000
Nb 0.000 0.000 0.000
C 2.653 2.653 2.653

---

Record 17
4
Lattice="0.000 2.951 2.951 2.951 0.000 2.951 2.951 2.951 0.000" Properties=species:S:1:pos:R:3 comment="YNbC2 (PBE, optimized geometry)" formation_energy_ev_per_atom=0.766 pbc="T T T"
Y 0.000 0.000 0.000
Nb 2.951 2.951 2.951
C 1.476 1.476 1.476
C 4.427 4.427 4.427

---

Record 18
5
Lattice="4.929 0.000 0.000 0.000 4.929 0.000 0.000 0.000 4.929" Properties=species:S:1:pos:R:3 comment="Y3NbC (PBE, optimized geometry)" formation_energy_ev_per_atom=0.212 pbc="T T T"
Y 0.000 0.000 2.465
Y 0.000 2.465 0.000
Y 2.465 0.000 0.000
Nb 2.465 2.465 2.465
C 0.000 0.000 0.000

---

Record 19
7
Lattice="5.873 -1.708 0.000 5.873 1.708 0.000 -1.815 0.000 5.525" Properties=species:S:1:pos:R:3 comment="Y2Nb2C3 (PBE, optimized geometry)" formation_energy_ev_per_atom=-0.439 pbc="T T T"
Y 0.695 0.000 1.863
Y 9.235 0.000 3.662
Nb 3.827 0.000 0.912
Nb 6.103 0.000 4.614
C 1.496 0.000 4.249
C 4.965 0.000 2.763
C 8.434 0.000 1.277

---

Record 20
5
Lattice="4.475 0.000 0.000 0.000 4.475 0.000 0.000 0.000 4.475" Properties=species:S:1:pos:R:3 comment="YNb3C (PBE, optimized geometry)" formation_energy_ev_per_atom=0.016 pbc="T T T"
Y 0.000 0.000 0.000
Nb 0.000 2.238 2.238
Nb 2.238 0.000 2.238
Nb 2.238 2.238 0.000
C 2.238 2.238 2.238